No. 1
The following is a PBE calculation of crystalline YTcNi4 at its relaxed geometry, from the Alexandria database.

Cell and atoms, written as POSCAR:
```
YTcNi4
1.0
1.240 2.899 3.761
-1.503 4.671 0.097
-3.409 1.414 3.236
Y Tc Ni
1 1 4
direct
0.000 0.000 0.000
0.750 0.750 0.750
0.375 0.375 0.874
0.375 0.375 0.375
0.375 0.874 0.375
0.874 0.375 0.375
```

**M_tot**: 4.16 μB/f.u.
**Space group**: No. 216
**DFT formation energy**: -77 meV per atom

No. 2
The following is a PBE calculation of crystalline Mg2Au at its relaxed geometry, from the Alexandria database.

Cell and atoms, written as POSCAR:
```
Mg2Au
1.0
2.713 -4.731 0.811
3.506 -0.478 4.229
-1.282 -3.212 4.294
Mg Au
4 2
direct
0.125 0.625 0.125
0.125 0.125 0.125
0.125 0.125 0.625
0.625 0.125 0.125
0.750 0.750 0.750
0.500 0.500 0.500
```

**M_tot**: 0.00 μB/f.u.
**Space group**: No. 227
**DFT formation energy**: -27 meV per atom

No. 3
The following is a PBE calculation of crystalline RbLiPbSe at its relaxed geometry, from the Alexandria database.

Cell and atoms, written as POSCAR:
```
RbLiPbSe
1.0
4.421 0.000 0.000
0.000 4.421 0.000
0.000 0.000 13.772
Se Pb Rb Li
2 2 2 2
direct
0.250 0.250 0.102
0.750 0.750 0.898
0.250 0.750 0.500
0.750 0.250 0.500
0.750 0.750 0.209
0.250 0.250 0.791
0.750 0.250 0.000
0.250 0.750 0.000
```

**M_tot**: 0.00 μB/f.u.
**Space group**: No. 129
**Formation energy without anion corrections**: -0.733 eV/atom

No. 4
The following is a PBE calculation of crystalline NaBi2 at its relaxed geometry, from the Alexandria database.

Cell and atoms, written as POSCAR:
```
NaBi2
1.0
3.371 0.000 -0.519
-0.197 5.390 -1.279
0.032 -0.139 11.420
Bi Na
4 2
direct
0.035 0.785 0.071
0.965 0.215 0.929
0.820 0.070 0.639
0.180 0.930 0.361
0.366 0.616 0.732
0.634 0.384 0.268
```

**M_tot**: 0.00 μB/f.u.
**Space group**: No. 74
**Energy above the lowest structure with this stoichiometry**: 0.04 eV/f.u.
**DFT formation energy**: -119 meV per atom

No. 5
The following is a PBE calculation of crystalline Nd7Ho4Mg at its relaxed geometry, from the Alexandria database.

Cell and atoms, written as POSCAR:
```
Nd7Ho4Mg
1.0
5.401 0.000 1.468
2.279 5.407 2.284
-0.658 -1.603 13.090
Ho Nd Mg
4 7 1
direct
0.454 0.315 0.778
0.546 0.685 0.222
0.091 0.445 0.372
0.909 0.555 0.628
0.500 0.000 0.000
0.226 0.444 0.104
0.159 0.938 0.744
0.361 0.809 0.469
0.841 0.062 0.256
0.639 0.191 0.531
0.774 0.556 0.896
0.000 0.000 0.000
```

**M_tot**: 0.00 μB/f.u.
**Space group**: No. 12
**DFT formation energy**: 196 meV per atom

No. 6
The following is a PBE calculation of crystalline KLiMo at its relaxed geometry, from the Alexandria database.

Cell and atoms, written as POSCAR:
```
KLiMo
1.0
6.675 0.008 -0.007
4.463 4.964 0.007
-5.017 -3.722 2.352
K Li Mo
1 1 1
direct
0.003 0.003 0.000
0.283 0.283 0.000
0.714 0.714 0.000
```

**M_tot**: 2.29 μB/f.u.
**Space group**: No. 44
**Energy above the lowest structure with this stoichiometry**: 0.65 eV/f.u.
**DFT formation energy**: 1167 meV per atom

No. 7
The following is a PBE calculation of crystalline Pu2SiOs at its relaxed geometry, from the Alexandria database.

Cell and atoms, written as POSCAR:
```
Pu2SiOs
1.0
3.693 0.000 0.000
0.000 3.693 0.000
0.000 0.000 5.579
Os Pu Si
1 2 1
direct
0.500 0.500 0.500
0.000 0.000 0.755
0.000 0.000 0.245
0.500 0.500 0.000
```

**M_tot**: 8.84 μB/f.u.
**Space group**: No. 123
**Formation energy without anion corrections**: -0.221 eV/atom
**Energy above the lowest structure with this stoichiometry**: 0.12 eV/f.u.

No. 8
The following is a PBE calculation of crystalline SrCa3S4 at its relaxed geometry, from the Alexandria database.

Cell and atoms, written as POSCAR:
```
SrCa3S4
1.0
4.105 0.000 0.000
0.000 6.729 -2.305
0.000 -0.066 7.112
S Sr Ca
4 1 3
direct
0.000 0.259 0.259
0.500 0.746 0.254
0.500 0.254 0.746
0.000 0.741 0.741
0.500 0.000 0.000
0.000 0.000 0.500
0.000 0.500 0.000
0.500 0.500 0.500
```

**M_tot**: 0.00 μB/f.u.
**Space group**: No. 65
**Formation energy without anion corrections**: -2.140 eV/atom

No. 9
The following is a PBE calculation of crystalline Sm5SnSb2 at its relaxed geometry, from the Alexandria database.

Cell and atoms, written as POSCAR:
```
Sm5SnSb2
1.0
-7.295 1.191 -0.152
-1.201 -7.241 0.920
4.248 3.555 3.760
Sm Sb Sn
5 2 1
direct
0.775 0.774 0.551
0.235 0.703 0.938
0.234 0.235 0.937
0.703 0.703 0.938
0.703 0.235 0.937
0.724 0.225 0.448
0.224 0.724 0.448
0.178 0.178 0.356
```

**M_tot**: 0.00 μB/f.u.
**Space group**: No. 8
**Formation energy without anion corrections**: -0.603 eV/atom

No. 10
The following is a PBE calculation of crystalline SmTm2F11 at its relaxed geometry, from the Alexandria database.

Cell and atoms, written as POSCAR:
```
SmTm2F11
1.0
7.329 0.000 3.820
3.320 7.560 2.571
0.153 0.028 8.646
F Tm Sm
22 4 2
direct
0.611 0.302 0.698
0.844 0.946 0.791
0.035 0.186 0.534
0.082 0.554 0.709
0.344 0.291 0.446
0.418 0.791 0.946
0.389 0.698 0.302
0.245 0.534 0.186
0.535 0.034 0.686
0.745 0.686 0.034
0.111 0.198 0.802
0.965 0.814 0.466
0.755 0.466 0.814
0.656 0.709 0.554
0.500 0.500 0.500
0.889 0.802 0.198
0.465 0.966 0.314
0.582 0.209 0.054
0.000 0.000 0.000
0.156 0.054 0.209
0.918 0.446 0.291
0.255 0.314 0.966
0.344 0.312 0.688
0.156 0.812 0.188
0.844 0.188 0.812
0.656 0.688 0.312
0.750 0.750 0.750
0.250 0.250 0.250
```

**M_tot**: 2.11 μB/f.u.
**Space group**: No. 72
**Formation energy without anion corrections**: -3.470 eV/atom